Record 1
ScAs2W | PBE-GGA | optimized geometry

## Properties
Offset from the most stable computed form   749.3 meV per atom

Cell: 4.623 4.623 4.623 Å, 60.00 60.00 60.00°
Atoms (fractional coordinates):
1 Sc 0.000 0.000 0.000
2 As 0.500 0.500 0.500
3 As 0.750 0.750 0.750
4 W 0.250 0.250 0.250



Record 2
ScAs2W | PBE-GGA | optimized geometry

## Properties
Offset from the most stable computed form   184.6 meV per atom

Cell: 4.993 4.993 4.558 Å, 98.51 98.51 38.86°
Atoms (fractional coordinates):
1 Sc 0.000 0.000 0.000
2 As 0.272 0.272 0.933
3 As 0.498 0.498 0.498
4 W 0.777 0.777 0.406



Record 3
ScAs2W | PBE-GGA | optimized geometry

## Properties
Offset from the most stable computed form   505.0 meV per atom

Cell: 8.699 8.699 8.699 Å, 21.20 21.20 21.20°
Atoms (fractional coordinates):
1 Sc 0.000 0.000 0.000
2 As 0.247 0.247 0.247
3 As 0.489 0.489 0.489
4 W 0.755 0.755 0.755



Record 4
Sc2AsW | PBE-GGA | optimized geometry

## Properties
Calculated total energy   -7.804 eV/atom

Cell: 3.058 3.058 8.310 Å, 90.00 90.00 105.54°
Atoms (fractional coordinates):
1 Sc 0.000 0.000 0.242
2 Sc 0.000 0.000 0.758
3 As 0.500 0.500 0.000
4 W 0.500 0.500 0.500



Record 5
Sc2AsW | PBE-GGA | optimized geometry

## Properties
Calculated total energy   -7.471 eV/atom

Cell: 4.646 4.646 4.646 Å, 60.00 60.00 60.00°
Atoms (fractional coordinates):
1 Sc 0.000 0.000 0.000
2 Sc 0.250 0.250 0.250
3 As 0.750 0.750 0.750
4 W 0.500 0.500 0.500



Record 6
ScAs2W | PBE-GGA | optimized geometry

## Properties
Offset from the most stable computed form   418.2 meV per atom

Cell: 2.916 2.916 9.955 Å, 90.00 90.00 105.55°
Atoms (fractional coordinates):
1 Sc 0.000 0.000 0.000
2 As 0.000 0.000 0.578
3 As 0.500 0.500 0.214
4 W 0.500 0.500 0.769



Record 7
ScAs2W | PBE-GGA | optimized geometry

## Properties
Offset from the most stable computed form   174.3 meV per atom

Cell: 3.420 4.811 4.918 Å, 90.00 110.26 90.00°
Atoms (fractional coordinates):
1 Sc 0.000 0.000 0.000
2 As 0.409 0.500 0.820
3 As 0.717 0.000 0.436
4 W 0.695 0.500 0.389



Record 8
Sc2AsW | PBE-GGA | optimized geometry

## Properties
Calculated total energy   -7.672 eV/atom

Cell: 5.346 5.346 5.346 Å, 135.80 135.80 64.30°
Atoms (fractional coordinates):
1 Sc 0.000 0.000 0.000
2 Sc 0.750 0.250 0.500
3 As 0.500 0.500 0.000
4 W 0.250 0.750 0.500



Record 9
ScAsW | PBE-GGA | optimized geometry

## Properties
Offset from the most stable computed form   0.0 meV per atom

Cell: 5.331 5.331 5.331 Å, 143.60 143.60 52.43°
Atoms (fractional coordinates):
1 Sc 0.000 0.000 0.000
2 As 0.311 0.311 0.000
3 W 0.692 0.692 0.000



Record 10
Sc2AsW | PBE-GGA | optimized geometry

## Properties
Calculated total energy   -7.738 eV/atom

Cell: 5.063 5.063 2.986 Å, 90.00 90.00 106.45°
Atoms (fractional coordinates):
1 Sc 0.000 0.500 0.000
2 Sc 0.500 0.000 0.000
3 As 0.000 0.000 0.500
4 W 0.500 0.500 0.500



Record 11
Sc2AsW | PBE-GGA | optimized geometry

## Properties
Calculated total energy   -7.752 eV/atom

Cell: 5.359 5.359 4.859 Å, 105.35 105.35 34.66°
Atoms (fractional coordinates):
1 Sc 0.000 0.000 0.000
2 Sc 0.210 0.210 0.666
3 As 0.453 0.453 0.480
4 W 0.761 0.761 0.200



Record 12
Sc2AsW | PBE-GGA | optimized geometry

## Properties
Calculated total energy   -7.591 eV/atom

Cell: 9.025 9.025 9.025 Å, 20.75 20.75 20.75°
Atoms (fractional coordinates):
1 Sc 0.000 0.000 0.000
2 Sc 0.229 0.229 0.229
3 As 0.483 0.483 0.483
4 W 0.752 0.752 0.752